DFT (PBE) results for a relaxed La2Ni9Pt crystal.

Output
Its volume is 173.8 Å³/cell. As for the space group: R-3m, No. 166. The calculation puts the total energy at -69.47 eV/f.u. As for the energy of formation from the pure elements: -12.4 kJ/mol of atoms.

a = 8.675 Å, b = 8.675 Å, c = 8.675 Å
α = 33.16°, β = 33.16°, γ = 33.16°
Positions (direct):
La (0.131, 0.131, 0.131)
La (0.869, 0.869, 0.869)
Ni (0.080, 0.578, 0.578)
Ni (0.333, 0.333, 0.333)
Ni (0.422, 0.422, 0.920)
Ni (0.422, 0.920, 0.422)
Ni (0.500, 0.500, 0.500)
Ni (0.578, 0.080, 0.578)
Ni (0.578, 0.578, 0.080)
Ni (0.667, 0.667, 0.667)
Ni (0.920, 0.422, 0.422)
Pt (0.000, 0.000, 0.000)